No. 1
BaZnSiAu6 | PBE | relaxed

abc: 7.9801 8.8916 8.8008
angles: 120.34 116.96 90.00
Atoms (fractional coordinates):
Ba: 0.8611 0.6111 0.7222
Au: 0.1216 0.8716 0.2433
Au: 0.8399 0.1416 0.2990
Si: 0.5000 0.0000 0.0000
Zn: 0.5000 0.0000 0.5000
Si: 0.5000 0.5000 0.0000
Ba: 0.1389 0.3889 0.2778
Au: 0.8784 0.1284 0.7567
Au: 0.5408 0.8584 0.7010
Au: 0.5765 0.3265 0.1529
Au: 0.1601 0.8584 0.7010
Au: 0.8399 0.6574 0.2990
Au: 0.1601 0.3426 0.7010
Au: 0.4592 0.6574 0.2990
Zn: 0.0000 0.0000 0.5000
Au: 0.4235 0.6735 0.8471
Au: 0.5408 0.3426 0.7010
Au: 0.4592 0.1416 0.2990

## Properties
Space group   No. 74
E   -3.297 eV per atom
ΔE_f (raw)   -0.155 eV per atom
Density   10.2 g cm⁻³

***

No. 2
KCuCl3 | PBE | relaxed

abc: 12.4932 5.4497 9.9160
angles: 98.80 90.00 90.00
Site moments in Bohr magnetons follow the coordinates.
Atoms (fractional coordinates):
K: 0.3436 0.7797 0.0381  0.00
Cl: 0.9394 0.6918 0.3607  0.11
Cu: 0.5247 0.3343 0.3419  0.50
Cl: 0.3458 0.9315 0.7425  0.12
K: 0.1564 0.7797 0.5381  0.00
Cl: 0.1542 0.9315 0.2425  0.12
Cl: 0.4394 0.3082 0.1393  0.11
K: 0.6564 0.2203 0.9619  0.00
Cu: 0.0247 0.6657 0.1581  0.50
Cl: 0.5906 0.3578 0.5603  0.19
Cl: 0.0906 0.6422 0.9397  0.19
Cu: 0.9753 0.3343 0.8419  0.50
K: 0.8436 0.2203 0.4619  0.00
Cl: 0.4094 0.6422 0.4397  0.19
Cl: 0.6542 0.0685 0.2575  0.12
Cu: 0.4753 0.6657 0.6581  0.50
Cl: 0.8458 0.0685 0.7575  0.12
Cl: 0.5606 0.6918 0.8607  0.11
Cl: 0.0606 0.3082 0.6393  0.11
Cl: 0.9094 0.3578 0.0603  0.19

## Properties
Space group   No. 14
E   -3.234 eV per atom
ΔE_f (raw)   -1.087 eV per atom
Density   2.1 g cm⁻³

***

No. 3
Ho4TeIr2 | PBE | relaxed

abc: 8.4938 8.4938 8.4770
angles: 119.99 119.99 90.08
Atoms (fractional coordinates):
Ho: 0.3947 0.6054 0.2111
Ir: 0.6250 0.8750 0.2500
Ho: 0.8558 0.5663 0.7111
Te: 0.2498 0.7502 0.5000
Te: 0.0002 0.9998 0.0000
Ho: 0.3942 0.1837 0.7889
Ho: 0.8554 0.1447 0.7112
Ir: 0.6250 0.3750 0.2500
Ho: 0.8553 0.1446 0.2889
Ho: 0.4337 0.1442 0.2889
Ho: 0.8163 0.6058 0.2111
Ir: 0.1250 0.3750 0.7500
Ir: 0.6250 0.3750 0.7500
Ho: 0.3946 0.6053 0.7889

## Properties
Space group   No. 70
E   -6.428 eV per atom
ΔE_f (raw)   -0.832 eV per atom
Density   9.0 g cm⁻³

***

No. 4
Ho2ZrGa3 | PBE | relaxed

abc: 7.0662 7.7277 7.7277
angles: 142.73 90.00 90.00
Atoms (fractional coordinates):
Ho: 0.2196 0.6682 0.3321
Ga: 0.4696 0.8406 0.1594
Ga: 0.9697 0.5001 0.5001
Ga: 0.4697 0.4999 0.4999
Ho: 0.7196 0.6679 0.3318
Zr: 0.7196 0.9998 0.9998
Ga: 0.9696 0.8406 0.1594
Zr: 0.2196 0.0002 0.0002
Ga: 0.4696 0.1594 0.8406
Ho: 0.7196 0.3318 0.6679
Ho: 0.2196 0.3321 0.6682
Ga: 0.9696 0.1594 0.8406

## Properties
Space group   No. 65
E   -4.960 eV per atom
Density   8.2 g cm⁻³
Calculated formation energy   -2.98 eV/f.u.